1.
The following is a PBE calculation of an optimized crystal structure of NbVI2, from Alexandria via LeMat-Bulk.

Cell and atoms, written as POSCAR:
```
NbVI2
1.0
-6.043 1.118 -2.121
-2.172 -4.988 3.559
-5.016 1.657 5.200
I Nb V
4 2 2
direct
0.617 0.125 0.250
0.133 0.625 0.250
0.375 0.383 0.750
0.875 0.867 0.750
0.000 0.000 0.000
0.750 0.250 0.500
0.500 0.500 0.000
0.250 0.750 0.500
```

The energy above the lowest structure with this stoichiometry is 262.0 meV/atom. For the uncorrected formation energy, the calculation gives 0.904 eV/atom.

=====

2.
The following is a PBE calculation of an optimized crystal structure of Ac2Nd2Au5, from Alexandria via LeMat-Bulk.

Cell and atoms, written as POSCAR:
```
Ac2Nd2Au5
1.0
-3.618 -4.325 -5.877
6.833 0.256 -4.395
-0.956 -6.851 5.631
Ac Nd Au
4 4 10
direct
0.000 0.197 0.395
0.500 0.697 0.395
0.000 0.803 0.605
0.500 0.303 0.605
0.660 0.840 0.000
0.340 0.160 0.000
0.160 0.660 0.000
0.840 0.340 0.000
0.000 0.000 0.000
0.500 0.500 0.000
0.859 0.771 0.258
0.141 0.486 0.258
0.359 0.986 0.258
0.641 0.271 0.258
0.141 0.229 0.742
0.859 0.514 0.742
0.641 0.014 0.742
0.359 0.729 0.742
```

As for the formation energy from the elements: -71 kJ per mole of atoms.

=====

3.
The following is a PBE calculation of an optimized crystal structure of K8VSe6, from Alexandria via LeMat-Bulk.

Cell and atoms, written as POSCAR:
```
K8VSe6
1.0
8.586 0.000 0.000
0.000 9.360 0.000
0.000 0.000 13.545
K V Se
16 2 12
direct
0.368 0.000 0.015
0.632 0.500 0.515
0.832 0.770 0.897
0.168 0.730 0.397
0.168 0.270 0.397
0.832 0.230 0.897
0.573 0.772 0.214
0.427 0.728 0.714
0.427 0.272 0.714
0.573 0.228 0.214
0.018 0.804 0.159
0.982 0.696 0.659
0.982 0.304 0.659
0.018 0.196 0.159
0.475 0.000 0.466
0.525 0.500 0.966
0.861 0.000 0.523
0.139 0.500 0.023
0.737 0.000 0.062
0.263 0.500 0.562
0.295 0.000 0.256
0.705 0.500 0.756
0.128 0.000 0.572
0.872 0.500 0.072
0.713 0.000 0.672
0.287 0.500 0.172
0.204 0.706 0.929
0.796 0.794 0.429
0.796 0.206 0.429
0.204 0.294 0.929
```

For the uncorrected formation energy, the calculation gives -1.039 eV/atom.

=====

4.
The following is a PBE calculation of an optimized crystal structure of SmYZnHg, from Alexandria via LeMat-Bulk.

Cell and atoms, written as POSCAR:
```
SmYZnHg
1.0
-3.722 3.610 0.682
-3.425 0.981 -3.829
-4.995 -1.460 0.522
Y Zn Hg Sm
1 1 1 1
direct
0.750 0.750 0.750
0.000 0.000 0.000
0.500 0.500 0.500
0.250 0.250 0.250
```

As for the formation energy from the elements: -38 kJ per mole of atoms. The energy above the lowest structure with this stoichiometry is 18.7 meV/atom.

=====

5.
The following is a PBE calculation of an optimized crystal structure of Cd3HgW, from Alexandria via LeMat-Bulk.

Cell and atoms, written as POSCAR:
```
Cd3HgW
1.0
5.543 0.000 0.000
0.000 5.543 0.000
0.000 0.000 5.543
Hg W Cd
1 1 3
direct
0.500 0.500 0.500
0.000 0.000 0.000
0.000 0.500 0.000
0.000 0.000 0.500
0.500 0.000 0.000
```

As for the formation energy from the elements: 106 kJ per mole of atoms. The energy above the lowest structure with this stoichiometry is 0.0 meV/atom.

=====

6.
The following is a PBE calculation of an optimized crystal structure of RbRuRh, from Alexandria via LeMat-Bulk.

Cell and atoms, written as POSCAR:
```
RbRuRh
1.0
-0.782 0.848 -5.590
-5.874 -4.079 0.110
-1.547 3.964 -0.522
Ru Rh Rb
2 2 2
direct
0.805 0.453 0.520
0.195 0.547 0.480
0.389 0.624 0.907
0.611 0.376 0.093
0.783 0.868 0.263
0.217 0.132 0.737
```

As for the formation energy from the elements: 66 kJ per mole of atoms. The energy above the lowest structure with this stoichiometry is 194.6 meV/atom.